Entry 1:
Here is TlCdPdRh after structural relaxation from Alexandria via LeMat-Bulk. Energies are from PBE.

Properties
Its energy of formation from the pure elements is -131 meV/atom.

abc: 6.5832 6.5832 6.5832
angles: 90.00 90.00 90.00
With the nearest neighbours (Å) after each atom.
Space group F-43m (No. 216)
One atom of each set of equivalent atoms:
Tl 0.0000 0.0000 0.0000 (multiplicity 4)  4 Rh 2.85, 4 Pd 2.85
Cd 0.0000 0.0000 0.5000 (multiplicity 4)  4 Pd 2.85, 4 Rh 2.85
Pd 0.2500 0.2500 0.2500 (multiplicity 4)  4 Cd 2.85, 4 Tl 2.85
Rh 0.2500 0.2500 0.7500 (multiplicity 4)  4 Cd 2.85, 4 Tl 2.85



Entry 2:
Here is Tm4CdPd2Rh after structural relaxation from Alexandria via LeMat-Bulk. Energies are from PBE.

Properties
Its energy of formation from the pure elements is -776 meV/atom.

abc: 4.9560 4.9560 24.1673
angles: 90.00 90.00 120.00
With the nearest neighbours (Å) after each atom.
Space group R-3m (No. 166, hexagonal axes)
One atom of each set of equivalent atoms:
Tm 0.0000 0.0000 0.1175 (multiplicity 6)  1 Rh 2.84, 4 Pd 2.96-3.12, 3 Cd 3.10
Tm 0.0000 0.0000 0.3689 (multiplicity 6)  4 Pd 2.96-3.12, 3 Rh 2.99, 1 Cd 3.17
Cd 0.0000 0.0000 0.5000 (multiplicity 3)  8 Tm 3.10-3.17, 6 Pd 3.45
Pd 0.0000 0.0000 0.2466 (multiplicity 6)  8 Tm 2.96-3.12
Rh 0.0000 0.0000 0.0000 (multiplicity 3)  8 Tm 2.84-2.99



Entry 3:
Here is VCdPdRh after structural relaxation from Alexandria via LeMat-Bulk. Energies are from PBE.

Properties
For the energy above the lowest structure with this stoichiometry, the calculation gives 191 meV per atom. Its energy of formation from the pure elements is -109 meV/atom.

abc: 6.3205 6.3205 6.3205
angles: 90.00 90.00 90.00
With the nearest neighbours (Å) after each atom.
Space group F-43m (No. 216)
One atom of each set of equivalent atoms:
V 0.0000 0.0000 0.0000 (multiplicity 4)  4 Rh 2.74, 4 Pd 2.74
Cd 0.0000 0.0000 0.5000 (multiplicity 4)  4 Rh 2.74, 4 Pd 2.74
Pd 0.2500 0.2500 0.2500 (multiplicity 4)  4 Cd 2.74, 4 V 2.74
Rh 0.2500 0.2500 0.7500 (multiplicity 4)  4 Cd 2.74, 4 V 2.74



Entry 4:
Here is VCdPdRh after structural relaxation from Alexandria via LeMat-Bulk. Energies are from PBE.

Properties
For the energy above the lowest structure with this stoichiometry, the calculation gives 0 meV per atom. Its energy of formation from the pure elements is -301 meV/atom.

abc: 2.8937 2.8937 7.4996
angles: 90.00 90.00 90.00
With the nearest neighbours (Å) after each atom.
Space group P4mm (No. 99)
One atom of each set of equivalent atoms:
V 0.0000 0.0000 0.0000 (multiplicity 1)  4 Rh 2.55, 4 Pd 2.72
Cd 0.0000 0.0000 0.5172 (multiplicity 1)  4 Cd 2.89, 4 Pd 2.93, 4 Rh 2.93
Pd 0.5000 0.5000 0.2385 (multiplicity 1)  4 V 2.72, 4 Pd 2.89, 4 Cd 2.93
Rh 0.5000 0.5000 0.7964 (multiplicity 1)  4 V 2.55



Entry 5:
Here is Cd2Pd2Ru after structural relaxation from Alexandria via LeMat-Bulk. Energies are from PBE.

Properties
Its energy of formation from the pure elements is 178 meV/atom.

abc: 6.8253 6.8253 3.9293
angles: 90.00 90.00 90.00
With the nearest neighbours (Å) after each atom.
Space group P4/mbm (No. 127)
One atom of each set of equivalent atoms:
Cd 0.1682 0.3318 0.0000 (multiplicity 4)  6 Pd 2.72-2.87
Pd 0.1364 0.6364 0.5000 (multiplicity 4)  1 Pd 2.63, 2 Ru 2.65, 6 Cd 2.72-2.87
Ru 0.0000 0.0000 0.5000 (multiplicity 2)  4 Pd 2.65



Entry 6:
Here is CdPd3Ru after structural relaxation from Alexandria via LeMat-Bulk. Energies are from PBE.

Properties
For the energy above the lowest structure with this stoichiometry, the calculation gives 0 meV per atom. Its energy of formation from the pure elements is 1000 meV/atom.

abc: 4.8164 4.8164 4.8164
angles: 90.00 90.00 90.00
With the nearest neighbours (Å) after each atom.
Space group Pm-3m (No. 221)
One atom of each set of equivalent atoms:
Cd 0.0000 0.0000 0.0000 (multiplicity 1)  12 Pd 3.41
Pd 0.0000 0.5000 0.5000 (multiplicity 3)  2 Ru 2.41
Ru 0.5000 0.5000 0.5000 (multiplicity 1)  6 Pd 2.41